Record 1
Below is a geometry-optimized Sr2P3Pt12Au structure, with properties calculated at the PBE level.

Properties
Crystal system   trigonal
Space group   R-3m, No. 166
Size of the total moment   0.000 μB per formula unit
Uncorrected energy   -5.57 eV/atom

a = 7.821 Å, b = 7.821 Å, c = 7.821 Å
α = 64.14°, β = 64.14°, γ = 64.14°
Positions (direct):
Sr  0.108  0.108  0.108
Sr  0.892  0.892  0.892
P  0.000  0.500  0.500
P  0.500  0.000  0.500
P  0.500  0.500  0.000
Pt  0.116  0.624  0.624
Pt  0.162  0.162  0.596
Pt  0.162  0.596  0.162
Pt  0.376  0.376  0.884
Pt  0.376  0.884  0.376
Pt  0.404  0.838  0.838
Pt  0.596  0.162  0.162
Pt  0.624  0.116  0.624
Pt  0.624  0.624  0.116
Pt  0.838  0.404  0.838
Pt  0.838  0.838  0.404
Pt  0.884  0.376  0.376
Au  0.500  0.500  0.500

Record 2
Below is a geometry-optimized TaPPtAu2 structure, with properties calculated at the PBE level.

Properties
Crystal system   tetragonal
Space group   P4/mmm, No. 123
Size of the total moment   1.560 μB per formula unit
Uncorrected energy   -5.30 eV/atom

a = 4.651 Å, b = 4.651 Å, c = 4.472 Å
α = 90.00°, β = 90.00°, γ = 90.00°
Positions (direct):
Ta  0.000  0.000  0.000
P  0.500  0.500  0.500
Pt  0.500  0.500  0.000
Au  0.000  0.500  0.500
Au  0.500  0.000  0.500

Record 3
Below is a geometry-optimized ZnP2PtAu structure, with properties calculated at the PBE level.

Properties
Crystal system   tetragonal
Space group   P4/mmm, No. 123
Size of the total moment   0.000 μB per formula unit
Uncorrected energy   -3.30 eV/atom

a = 4.453 Å, b = 4.453 Å, c = 4.825 Å
α = 90.00°, β = 90.00°, γ = 90.00°
Positions (direct):
Zn  0.000  0.000  0.000
P  0.000  0.500  0.000
P  0.500  0.000  0.000
Pt  0.500  0.500  0.500
Au  0.000  0.000  0.500

Record 4
Below is a geometry-optimized ZnP2PtAu structure, with properties calculated at the PBE level.

Properties
Crystal system   tetragonal
Space group   P4/mmm, No. 123
Size of the total moment   0.000 μB per formula unit
Uncorrected energy   -3.20 eV/atom

a = 4.662 Å, b = 4.662 Å, c = 5.188 Å
α = 90.00°, β = 90.00°, γ = 90.00°
Positions (direct):
Zn  0.000  0.000  0.000
P  0.000  0.500  0.500
P  0.500  0.000  0.500
Pt  0.500  0.500  0.000
Au  0.500  0.500  0.500

| no. | energy of formation (kJ/mol of atoms) |
| --- | --- |
| 1 | -26.0 |
| 2 | 65.0 |
| 3 | 94.6 |
| 4 | 104.4 |